(1)
! TlIr2Ru, relaxed, DFT PBE; values from VASP
&SYSTEM
  ibrav = 0, nat = 4, ntyp = 3
/
ATOMIC_SPECIES
Ru 101.07 Ru.upf
Tl 204.38 Tl.upf
Ir 192.22 Ir.upf
CELL_PARAMETERS angstrom
-2.429 2.368 -2.993
1.267 0.135 -4.341
-2.445 -2.154 -3.139
ATOMIC_POSITIONS crystal
Ru 0.500 0.500 0.500
Tl 0.750 0.750 0.750
Ir 0.250 0.250 0.250
Ir 0.000 0.000 0.000
! Symmetry: No. 216
! Crystal system: cubic

=====

(2)
! TlIrRu2, relaxed, DFT PBE; values from VASP
&SYSTEM
  ibrav = 0, nat = 4, ntyp = 3
/
ATOMIC_SPECIES
Ru 101.07 Ru.upf
Ir 192.22 Ir.upf
Tl 204.38 Tl.upf
CELL_PARAMETERS angstrom
-2.056 1.841 -4.882
1.930 -1.956 -4.888
-2.543 -0.827 4.929
ATOMIC_POSITIONS crystal
Ru 0.772 0.272 0.500
Ru 0.997 0.997 0.000
Ir 0.230 0.730 0.500
Tl 0.500 0.500 0.000
! Symmetry: No. 44
! Crystal system: orthorhombic

=====

(3)
! Tl2IrRu, relaxed, DFT PBE; values from VASP
&SYSTEM
  ibrav = 0, nat = 4, ntyp = 3
/
ATOMIC_SPECIES
Ru 101.07 Ru.upf
Tl 204.38 Tl.upf
Ir 192.22 Ir.upf
CELL_PARAMETERS angstrom
-0.145 -3.757 -2.791
-2.963 -0.111 -3.625
1.644 0.270 -4.377
ATOMIC_POSITIONS crystal
Ru 0.000 0.000 0.000
Tl 0.750 0.750 0.750
Tl 0.250 0.250 0.250
Ir 0.500 0.500 0.500
! Symmetry: No. 225
! Crystal system: cubic

=====

(4)
! TlIr4Ru, relaxed, DFT PBE; values from VASP
&SYSTEM
  ibrav = 0, nat = 6, ntyp = 3
/
ATOMIC_SPECIES
Ir 192.22 Ir.upf
Ru 101.07 Ru.upf
Tl 204.38 Tl.upf
CELL_PARAMETERS angstrom
-1.804 -2.357 4.315
-4.644 -2.420 -0.085
-0.234 -5.227 0.226
ATOMIC_POSITIONS crystal
Ir 0.375 0.375 0.874
Ir 0.874 0.375 0.375
Ir 0.375 0.375 0.375
Ir 0.375 0.874 0.375
Ru 0.750 0.750 0.750
Tl 0.000 0.000 0.000
! Symmetry: No. 216
! Crystal system: cubic

=====

(5)
! Tl2IrRu, relaxed, DFT PBE; values from VASP
&SYSTEM
  ibrav = 0, nat = 4, ntyp = 3
/
ATOMIC_SPECIES
Tl 204.38 Tl.upf
Ru 101.07 Ru.upf
Ir 192.22 Ir.upf
CELL_PARAMETERS angstrom
4.767 0.000 0.000
2.384 4.129 0.000
2.384 1.376 3.892
ATOMIC_POSITIONS crystal
Tl 0.000 0.000 0.000
Tl 0.250 0.250 0.250
Ru 0.750 0.750 0.750
Ir 0.500 0.500 0.500
! Symmetry: No. 216
! Crystal system: cubic

=====

(6)
! TlIr2Ru, relaxed, DFT PBE; values from VASP
&SYSTEM
  ibrav = 0, nat = 4, ntyp = 3
/
ATOMIC_SPECIES
Ir 192.22 Ir.upf
Ru 101.07 Ru.upf
Tl 204.38 Tl.upf
CELL_PARAMETERS angstrom
-0.318 -3.634 -1.858
-1.428 -1.589 3.352
-3.696 0.909 -1.144
ATOMIC_POSITIONS crystal
Ir 0.000 0.500 0.500
Ir 0.000 0.000 0.000
Ru 0.500 0.500 0.000
Tl 0.500 0.000 0.500
! Symmetry: No. 123
! Crystal system: tetragonal

=====

(7)
! TlIrRu2, relaxed, DFT PBE; values from VASP
&SYSTEM
  ibrav = 0, nat = 4, ntyp = 3
/
ATOMIC_SPECIES
Ru 101.07 Ru.upf
Tl 204.38 Tl.upf
Ir 192.22 Ir.upf
CELL_PARAMETERS angstrom
0.000 3.183 3.183
3.183 0.000 3.183
3.183 3.183 0.000
ATOMIC_POSITIONS crystal
Ru 0.750 0.750 0.750
Ru 0.250 0.250 0.250
Tl 0.500 0.500 0.500
Ir 0.000 0.000 0.000
! Symmetry: No. 225
! Crystal system: cubic

=====

(8)
! TlIrRu2, relaxed, DFT PBE; values from VASP
&SYSTEM
  ibrav = 0, nat = 4, ntyp = 3
/
ATOMIC_SPECIES
Tl 204.38 Tl.upf
Ru 101.07 Ru.upf
Ir 192.22 Ir.upf
CELL_PARAMETERS angstrom
4.921 -0.007 0.000
1.732 4.607 0.000
-3.327 -2.300 2.805
ATOMIC_POSITIONS crystal
Tl 0.500 0.500 0.000
Ru 0.000 0.000 0.000
Ru 0.250 0.750 0.500
Ir 0.750 0.250 0.500
! Symmetry: No. 119
! Crystal system: tetragonal

=====

(9)
! TlIr2Ru, relaxed, DFT PBE; values from VASP
&SYSTEM
  ibrav = 0, nat = 4, ntyp = 3
/
ATOMIC_SPECIES
Ir 192.22 Ir.upf
Ru 101.07 Ru.upf
Tl 204.38 Tl.upf
CELL_PARAMETERS angstrom
-0.276 2.803 -0.456
-0.946 -0.687 -3.655
-5.763 -0.315 1.551
ATOMIC_POSITIONS crystal
Ir 0.000 0.000 0.030
Ir 0.000 0.000 0.470
Ru 0.500 0.500 0.250
Tl 0.500 0.500 0.750
! Symmetry: No. 47
! Crystal system: orthorhombic

=====

(10)
! TlIrRu2, relaxed, DFT PBE; values from VASP
&SYSTEM
  ibrav = 0, nat = 4, ntyp = 3
/
ATOMIC_SPECIES
Ru 101.07 Ru.upf
Tl 204.38 Tl.upf
Ir 192.22 Ir.upf
CELL_PARAMETERS angstrom
2.858 0.000 0.000
0.000 2.858 0.000
0.000 0.000 7.868
ATOMIC_POSITIONS crystal
Ru 0.000 0.000 0.976
Ru 0.000 0.000 0.524
Tl 0.500 0.500 0.250
Ir 0.500 0.500 0.750
! Symmetry: No. 123
! Crystal system: tetragonal

=====

(11)
! Tl3IrRu, relaxed, DFT PBE; values from VASP
&SYSTEM
  ibrav = 0, nat = 5, ntyp = 3
/
ATOMIC_SPECIES
Ru 101.07 Ru.upf
Tl 204.38 Tl.upf
Ir 192.22 Ir.upf
CELL_PARAMETERS angstrom
-5.089 0.577 1.102
0.189 -4.229 3.087
1.229 3.038 4.087
ATOMIC_POSITIONS crystal
Ru 0.500 0.500 0.500
Tl 0.500 0.000 0.000
Tl 0.000 0.000 0.500
Tl 0.000 0.500 0.000
Ir 0.000 0.000 0.000
! Symmetry: No. 221
! Crystal system: cubic

=====

(12)
! Tl2Ir2Ru, relaxed, DFT PBE; values from VASP
&SYSTEM
  ibrav = 0, nat = 10, ntyp = 3
/
ATOMIC_SPECIES
Ir 192.22 Ir.upf
Tl 204.38 Tl.upf
Ru 101.07 Ru.upf
CELL_PARAMETERS angstrom
-7.092 1.456 -3.005
-0.287 -7.294 -2.855
-1.297 -0.965 2.594
ATOMIC_POSITIONS crystal
Ir 0.650 0.850 0.500
Ir 0.350 0.150 0.500
Ir 0.850 0.350 0.500
Ir 0.150 0.650 0.500
Tl 0.350 0.850 0.000
Tl 0.850 0.650 0.000
Tl 0.150 0.350 0.000
Tl 0.650 0.150 0.000
Ru 0.000 0.000 0.000
Ru 0.500 0.500 0.000
! Symmetry: No. 127
! Crystal system: tetragonal

=====

| no. | calculated formation energy (meV per atom) | raw total energy (eV/atom) |
| --- | --- | --- |
| 1 | 669 | -6.672 |
| 2 | 607 | -6.838 |
| 3 | 581 | -5.137 |
| 4 | 700 | -7.147 |
| 5 | 870 | -4.847 |
| 6 | 577 | -6.764 |
| 7 | 640 | -6.805 |
| 8 | 500 | -6.945 |
| 9 | 437 | -6.904 |
| 10 | 425 | -7.020 |
| 11 | 1050 | -3.997 |
| 12 | 944 | -5.402 |